! TbFe4Ru (PBE, relaxed); values from VASP
&SYSTEM
  ibrav = 0, nat = 6, ntyp = 3
/
ATOMIC_SPECIES
Ru 101.07 Ru.upf
Tb 158.93 Tb.upf
Fe 55.84 Fe.upf
ATOMIC_POSITIONS angstrom
Ru -2.6995 -0.4155 1.3523
Tb 0.0000 0.0000 0.0000
Fe -4.7329 -2.1760 2.4810
Fe -5.6032 -0.1393 1.3694
Fe -6.7432 -1.0378 3.3780
Fe -4.5167 0.0295 3.5902
CELL_PARAMETERS angstrom
-4.4715 -2.1433 -0.4262
-2.2893 -1.8044 4.0340
-4.0372 2.2859 1.8015
! - Formation energy from the elements: 47 meV per atom

! TbFeRu (PBE, relaxed); values from VASP
&SYSTEM
  ibrav = 0, nat = 3, ntyp = 3
/
ATOMIC_SPECIES
Ru 101.07 Ru.upf
Tb 158.93 Tb.upf
Fe 55.84 Fe.upf
ATOMIC_POSITIONS angstrom
Ru 1.1353 -0.5305 2.0342
Tb -1.4796 -2.1550 2.5290
Fe -0.4830 0.0087 0.5183
CELL_PARAMETERS angstrom
-2.8961 0.0522 3.1078
-0.7155 -3.8404 -0.6023
2.7843 1.1114 2.5760
! - Formation energy from the elements: -32 meV per atom
! - Relative energy among the computed polymorphs: 181 meV per atom

! TbFeRu (PBE, relaxed); values from VASP
&SYSTEM
  ibrav = 0, nat = 18, ntyp = 3
/
ATOMIC_SPECIES
Tb 158.93 Tb.upf
Fe 55.84 Fe.upf
Ru 101.07 Ru.upf
ATOMIC_POSITIONS angstrom
Tb 7.8814 4.5503 10.3349
Tb 2.6271 1.5168 2.7208
Tb 2.6271 1.5168 11.4409
Tb 7.8814 4.5503 1.6149
Tb 2.6271 1.5168 5.9984
Tb 7.8814 4.5503 7.0573
Fe 3.9191 3.8044 4.3845
Fe 5.2543 1.4918 4.3845
Fe 6.5895 3.8044 4.3845
Fe 6.5895 2.2627 8.6712
Fe 5.2543 4.5753 8.6712
Fe 3.9191 2.2627 8.6712
Ru 5.2543 3.0336 10.7693
Ru 5.2543 3.0336 2.2864
Ru 1.3136 2.2752 0.0000
Ru 2.6271 0.0000 0.0000
Ru 3.9407 2.2752 0.0000
Ru 5.2543 3.0336 6.5279
CELL_PARAMETERS angstrom
5.2543 0.0000 0.0000
2.6271 4.5503 0.0000
2.6271 1.5168 13.0557
! - Formation energy from the elements: -181 meV per atom
! - Relative energy among the computed polymorphs: 32 meV per atom

! FeTc3Ru (PBE, relaxed); values from VASP
&SYSTEM
  ibrav = 0, nat = 5, ntyp = 3
/
ATOMIC_SPECIES
Ru 101.07 Ru.upf
Tc 98.00 Tc.upf
Fe 55.84 Fe.upf
ATOMIC_POSITIONS angstrom
Ru 2.1662 2.1662 2.1662
Tc 0.0000 2.1662 0.0000
Tc 0.0000 0.0000 2.1662
Tc 2.1662 0.0000 0.0000
Fe 0.0000 0.0000 0.0000
CELL_PARAMETERS angstrom
4.3324 0.0000 0.0000
0.0000 4.3324 0.0000
0.0000 0.0000 4.3324
! - Formation energy from the elements: 1380 meV per atom
! - Relative energy among the computed polymorphs: 0 meV per atom

! Fe2Tc2Ru (PBE, relaxed); values from VASP
&SYSTEM
  ibrav = 0, nat = 10, ntyp = 3
/
ATOMIC_SPECIES
Ru 101.07 Ru.upf
Tc 98.00 Tc.upf
Fe 55.84 Fe.upf
ATOMIC_POSITIONS angstrom
Ru 0.0000 0.0000 0.0000
Ru 3.4434 3.4434 0.0000
Tc 1.1954 4.6388 1.3652
Tc 4.6388 5.6914 1.3652
Tc 5.6914 2.2480 1.3652
Tc 2.2480 1.1954 1.3652
Fe 2.5939 6.0373 0.0000
Fe 6.0373 4.2929 0.0000
Fe 4.2929 0.8495 0.0000
Fe 0.8495 2.5939 0.0000
CELL_PARAMETERS angstrom
6.8868 0.0000 0.0000
0.0000 6.8868 0.0000
0.0000 0.0000 2.7304
! - Formation energy from the elements: 158 meV per atom

! Fe2TcRu2 (PBE, relaxed); values from VASP
&SYSTEM
  ibrav = 0, nat = 10, ntyp = 3
/
ATOMIC_SPECIES
Ru 101.07 Ru.upf
Tc 98.00 Tc.upf
Fe 55.84 Fe.upf
ATOMIC_POSITIONS angstrom
Ru 2.6332 6.1588 0.0000
Ru 6.1588 4.4182 0.0000
Ru 4.4182 0.8925 0.0000
Ru 0.8925 2.6332 0.0000
Tc 0.0000 0.0000 0.0000
Tc 3.5257 3.5257 0.0000
Fe 1.2036 4.7293 1.3151
Fe 4.7293 5.8477 1.3151
Fe 5.8477 2.3220 1.3151
Fe 2.3220 1.2036 1.3151
CELL_PARAMETERS angstrom
7.0513 0.0000 0.0000
0.0000 7.0513 0.0000
0.0000 0.0000 2.6301
! - Formation energy from the elements: 318 meV per atom
! - Relative energy among the computed polymorphs: 122 meV per atom

! Fe4TcRu (PBE, relaxed); values from VASP
&SYSTEM
  ibrav = 0, nat = 6, ntyp = 3
/
ATOMIC_SPECIES
Fe 55.84 Fe.upf
Ru 101.07 Ru.upf
Tc 98.00 Tc.upf
ATOMIC_POSITIONS angstrom
Fe -3.5497 0.9826 -2.1959
Fe -5.7655 0.3960 -2.5828
Fe -5.1354 2.6335 -2.6002
Fe -4.4616 1.2229 -4.3206
Ru -7.0921 1.9631 -4.3873
Tc 0.0000 0.0000 0.0000
CELL_PARAMETERS angstrom
-1.8295 0.4821 -4.2625
-4.4453 -1.1767 -0.7762
-3.1813 3.3121 -0.8111
! - Formation energy from the elements: 54 meV per atom

! Fe2TcRu2 (PBE, relaxed); values from VASP
&SYSTEM
  ibrav = 0, nat = 10, ntyp = 3
/
ATOMIC_SPECIES
Ru 101.07 Ru.upf
Tc 98.00 Tc.upf
Fe 55.84 Fe.upf
ATOMIC_POSITIONS angstrom
Ru 2.8006 -4.0283 1.0560
Ru 1.9051 -6.1731 3.8278
Ru -0.1728 -3.5443 5.1907
Ru 0.7227 -1.3995 2.4188
Tc 0.0000 0.0000 0.0000
Tc 0.2705 -4.2502 2.4272
Fe 1.8680 -6.2332 1.3542
Fe -0.3894 -5.9189 4.5286
Fe -1.3270 -2.2672 3.5003
Fe 0.9304 -2.5815 0.3259
CELL_PARAMETERS angstrom
-2.7837 -2.4972 5.8372
3.3247 -6.0032 -0.9827
2.0869 0.9278 1.3922
! - Formation energy from the elements: 195 meV per atom
! - Relative energy among the computed polymorphs: 0 meV per atom

! Fe3TcRu (PBE, relaxed); values from VASP
&SYSTEM
  ibrav = 0, nat = 5, ntyp = 3
/
ATOMIC_SPECIES
Ru 101.07 Ru.upf
Tc 98.00 Tc.upf
Fe 55.84 Fe.upf
ATOMIC_POSITIONS angstrom
Ru 0.5193 -2.5630 2.7126
Tc 0.0000 0.0000 0.0000
Fe 1.8992 -0.9388 0.4940
Fe -0.3957 0.3130 2.1161
Fe -0.9842 -1.9373 0.1025
CELL_PARAMETERS angstrom
-1.9685 -3.8746 0.2051
3.7984 -1.8775 0.9879
-0.7913 0.6261 4.2322
! - Formation energy from the elements: 1643 meV per atom
! - Relative energy among the computed polymorphs: 0 meV per atom

! FeTc4Ru (PBE, relaxed); values from VASP
&SYSTEM
  ibrav = 0, nat = 6, ntyp = 3
/
ATOMIC_SPECIES
Fe 55.84 Fe.upf
Tc 98.00 Tc.upf
Ru 101.07 Ru.upf
ATOMIC_POSITIONS angstrom
Fe 5.3446 5.3446 5.3446
Tc 2.6762 4.4499 4.4499
Tc 4.4499 4.4499 2.6762
Tc 4.4499 2.6762 4.4499
Tc 2.6762 2.6762 2.6762
Ru 0.0000 0.0000 0.0000
CELL_PARAMETERS angstrom
0.0000 3.5631 3.5631
3.5631 0.0000 3.5631
3.5631 3.5631 0.0000
! - Formation energy from the elements: 410 meV per atom

! TiFeTcRu (PBE, relaxed); values from VASP
&SYSTEM
  ibrav = 0, nat = 4, ntyp = 4
/
ATOMIC_SPECIES
Ru 101.07 Ru.upf
Ti 47.87 Ti.upf
Tc 98.00 Tc.upf
Fe 55.84 Fe.upf
ATOMIC_POSITIONS angstrom
Ru -4.1330 0.2631 3.2394
Ti -2.0665 0.1315 1.6197
Tc 0.0000 0.0000 0.0000
Fe -6.1994 0.3946 4.8591
CELL_PARAMETERS angstrom
-4.2655 0.4363 0.2116
-2.2239 -2.0869 3.0213
-1.7766 2.1767 3.2458
! - Formation energy from the elements: -206 meV per atom

! VFeTcRu (PBE, relaxed); values from VASP
&SYSTEM
  ibrav = 0, nat = 4, ntyp = 4
/
ATOMIC_SPECIES
Ru 101.07 Ru.upf
V 50.94 V.upf
Tc 98.00 Tc.upf
Fe 55.84 Fe.upf
ATOMIC_POSITIONS angstrom
Ru 6.3621 3.6732 2.5973
V 0.0000 0.0000 0.0000
Tc 2.1207 1.2244 0.8658
Fe 4.2414 2.4488 1.7316
CELL_PARAMETERS angstrom
4.2414 0.0000 0.0000
2.1207 3.6732 0.0000
2.1207 1.2244 3.4631
! - Formation energy from the elements: -89 meV per atom

| no. | total energy (eV per atom) |
| --- | --- |
| 1 | -7.912 |
| 2 | -7.488 |
| 3 | -7.637 |
| 4 | -8.387 |
| 5 | -9.228 |
| 6 | -8.851 |
| 7 | -8.862 |
| 8 | -8.973 |
| 9 | -7.363 |
| 10 | -9.458 |
| 11 | -9.205 |
| 12 | -9.395 |